# CePm2Ho8 PBE relaxed
# calculated volume	731.7	Å³ per cell
# formation enthalpy at 0 K	17.5	kJ per mole of atoms
data_CePm2Ho8
_chemical_formula_sum 'Ce2 Pm4 Ho16'
_cell_length_a 19.017
_cell_length_b 6.915
_cell_length_c 5.572
_cell_angle_alpha 90.00
_cell_angle_beta 92.95
_cell_angle_gamma 90.00
_space_group_name_H-M_alt 'C 1 2/m 1'
_space_group_IT_number 12
loop_
_space_group_symop_operation_xyz
'x,y,z'
'-x,-y,-z'
'-x,y,-z'
'x,-y,z'
'x+1/2,y+1/2,z'
'-x+1/2,-y+1/2,-z'
'-x+1/2,y+1/2,-z'
'x+1/2,-y+1/2,z'
loop_
_atom_site_label
_atom_site_fract_x
_atom_site_fract_y
_atom_site_fract_z
Ce1 0.000 0.000 0.000
Pm1 0.217 0.500 0.249
Ho1 0.047 0.500 0.237
Ho2 0.130 0.265 0.732
Ho3 0.185 0.000 0.233


# CePmHo PBE relaxed
# calculated volume	188.6	Å³ per cell
# formation enthalpy at 0 K	4.6	kJ per mole of atoms
data_CePmHo
_chemical_formula_sum 'Ce2 Pm2 Ho2'
_cell_length_a 3.517
_cell_length_b 6.135
_cell_length_c 8.739
_cell_angle_alpha 90.32
_cell_angle_beta 90.13
_cell_angle_gamma 90.06
_space_group_name_H-M_alt 'P -1'
_space_group_IT_number 2
loop_
_space_group_symop_operation_xyz
'x,y,z'
'-x,-y,-z'
loop_
_atom_site_label
_atom_site_fract_x
_atom_site_fract_y
_atom_site_fract_z
Ce1 0.249 0.246 0.002
Pm1 0.251 0.584 0.325
Ho1 0.249 0.917 0.670


# CePm2Pr6Ho PBE relaxed
# calculated volume	708.4	Å³ per cell
# formation enthalpy at 0 K	21.8	kJ per mole of atoms
data_CePm2Pr6Ho
_chemical_formula_sum 'Ce2 Pm4 Pr12 Ho2'
_cell_length_a 11.498
_cell_length_b 7.097
_cell_length_c 8.984
_cell_angle_alpha 90.00
_cell_angle_beta 104.90
_cell_angle_gamma 90.00
_space_group_name_H-M_alt 'C 1 2/m 1'
_space_group_IT_number 12
loop_
_space_group_symop_operation_xyz
'x,y,z'
'-x,-y,-z'
'-x,y,-z'
'x,-y,z'
'x+1/2,y+1/2,z'
'-x+1/2,-y+1/2,-z'
'-x+1/2,y+1/2,-z'
'x+1/2,-y+1/2,z'
loop_
_atom_site_label
_atom_site_fract_x
_atom_site_fract_y
_atom_site_fract_z
Ce1 0.000 0.000 0.000
Pm1 0.088 0.500 0.167
Pr1 0.122 0.000 0.414
Pr2 0.178 0.264 0.796
Ho1 0.000 0.500 0.500


# CePmPrHo PBE relaxed
# calculated volume	536.0	Å³ per cell
# formation enthalpy at 0 K	18.4	kJ per mole of atoms
data_CePmPrHo
_chemical_formula_sum 'Ce4 Pm4 Pr4 Ho4'
_cell_length_a 8.123
_cell_length_b 8.123
_cell_length_c 8.123
_cell_angle_alpha 90.00
_cell_angle_beta 90.00
_cell_angle_gamma 90.00
_space_group_name_H-M_alt 'F -4 3 m'
_space_group_IT_number 216
_space_group_name_Hall 'F -4 2 3'
loop_
_atom_site_label
_atom_site_fract_x
_atom_site_fract_y
_atom_site_fract_z
Ce1 0.000 0.000 0.000
Pm1 0.250 0.250 0.250
Pr1 0.000 0.000 0.500
Ho1 0.250 0.250 0.750